## Nd3Ge2Pt (PBE)

Data for a relaxed structure of Nd3Ge2Pt.

Computed properties:
calculated formation energy = -918 meV/atom
VASP energy = -5.848 eV/atom
D(E_F) = 19.0 states/eV per cell

a = 11.9609 Å, b = 4.4032 Å, c = 11.7941 Å
α = 90.00°, β = 90.00°, γ = 90.00°
With the nearest neighbours (Å) after each atom.
Space group Pnma (No. 62)
Inequivalent atoms, fractional coordinates:
Nd: 0.0567 0.2500 0.1269 x4  1 Pt 3.00, 5 Ge 3.09-3.31
Nd: 0.1195 0.7500 0.5580 x4  3 Pt 3.08-3.12, 5 Ge 3.15-3.24
Nd: 0.2154 0.2500 0.8086 x4  2 Pt 2.98, 4 Ge 3.09-3.22
Ge: 0.0155 0.7500 0.3090 x4  2 Pt 2.68
Ge: 0.1895 0.7500 0.0012 x4  1 Pt 2.67
Pt: 0.1281 0.2500 0.3704 x4  3 Ge 2.67-2.68, 2 Nd 2.98

=====

## Nd3Ge4Pt (PBE)

Data for a relaxed structure of Nd3Ge4Pt.

Computed properties:
calculated formation energy = -752 meV/atom
VASP energy = -5.604 eV/atom
D(E_F) = 8.5 states/eV per cell

a = 4.5081 Å, b = 5.9660 Å, c = 14.8385 Å
α = 90.00°, β = 90.00°, γ = 90.00°
With the nearest neighbours (Å) after each atom.
Space group Immm (No. 71)
Inequivalent atoms, fractional coordinates:
Nd: 0.0000 0.0000 0.0000 x2  8 Ge 3.16
Nd: 0.0000 0.5000 0.1905 x4  6 Ge 3.01-3.05
Ge: 0.0000 0.2882 0.3778 x8  1 Pt 2.50, 1 Ge 2.53
Pt: 0.0000 0.0000 0.5000 x2  4 Ge 2.50

=====

## Nd2GePt6 (PBE)

Data for a relaxed structure of Nd2GePt6.

Computed properties:
calculated formation energy = -919 meV/atom
VASP energy = -6.519 eV/atom
D(E_F) = 8.0 states/eV per cell

a = 9.8462 Å, b = 5.7241 Å, c = 6.2827 Å
α = 90.00°, β = 103.99°, γ = 90.00°
With the nearest neighbours (Å) after each atom.
Space group C2/m (No. 12)
Inequivalent atoms, fractional coordinates:
Nd: 0.1431 0.0000 0.3523 x4  9 Pt 3.02-3.23
Ge: 0.0000 0.5000 0.5000 x2  6 Pt 2.50-2.56
Pt: 0.1212 0.5000 0.1936 x4  1 Ge 2.50, 2 Pt 2.78
Pt: 0.1354 0.2428 0.8129 x8  1 Ge 2.56, 4 Pt 2.78-2.84

=====

## Nd3GePt3 (PBE)

Data for a relaxed structure of Nd3GePt3.

Computed properties:
calculated formation energy = -1058 meV/atom
VASP energy = -6.350 eV/atom
D(E_F) = 20.1 states/eV per cell

a = 10.8964 Å, b = 4.2376 Å, c = 15.0143 Å
α = 90.00°, β = 110.17°, γ = 90.00°
With the nearest neighbours (Å) after each atom.
Space group C2/m (No. 12)
Inequivalent atoms, fractional coordinates:
Nd: 0.0270 0.0000 0.3864 x4  4 Ge 3.07-3.40, 7 Pt 3.12-3.43
Nd: 0.1045 0.0000 0.9237 x4  7 Pt 2.98-3.26
Nd: 0.2449 0.0000 0.2285 x4  6 Pt 3.05-3.20, 2 Ge 3.32
Ge: 0.2353 0.5000 0.3958 x4  4 Pt 2.51-2.81
Pt: 0.0275 0.5000 0.2336 x4  1 Ge 2.69, 1 Pt 2.87
Pt: 0.1228 0.5000 0.0773 x4  2 Pt 2.87-2.88, 5 Nd 2.98-3.09
Pt: 0.1391 0.5000 0.5469 x4  3 Ge 2.51-2.81

=====

## Nd4Ge3Pt (PBE)

Data for a relaxed structure of Nd4Ge3Pt.

Computed properties:
calculated formation energy = -894 meV/atom
VASP energy = -5.764 eV/atom
D(E_F) = 6.3 states/eV per cell

a = 4.2031 Å, b = 4.3050 Å, c = 11.2146 Å
α = 90.00°, β = 90.00°, γ = 90.00°
With the nearest neighbours (Å) after each atom.
Space group Pmm2 (No. 25)
Inequivalent atoms, fractional coordinates:
Nd: 0.0000 0.0000 0.0000 x1  1 Pt 3.06, 6 Ge 3.10-3.32
Nd: 0.0000 0.5000 0.4907 x1  5 Ge 3.06-3.18, 2 Pt 3.25
Nd: 0.5000 0.0000 0.7157 x1  7 Ge 3.08-3.25
Nd: 0.5000 0.5000 0.2225 x1  4 Pt 3.06, 3 Ge 3.24
Ge: 0.0000 0.5000 0.7741 x1  2 Ge 2.76, 4 Nd 3.08
Ge: 0.5000 0.0000 0.4389 x1  2 Pt 2.80, 5 Nd 3.06-3.10
Ge: 0.5000 0.5000 0.9333 x1  2 Ge 2.76
Pt: 0.0000 0.0000 0.2733 x1  2 Ge 2.80, 5 Nd 3.06

=====

## Nd2Ge4Pt3 (PBE)

Data for a relaxed structure of Nd2Ge4Pt3.

Computed properties:
calculated formation energy = -701 meV/atom
VASP energy = -5.826 eV/atom
D(E_F) = 18.7 states/eV per cell

a = 5.5999 Å, b = 10.1412 Å, c = 12.5081 Å
α = 90.00°, β = 90.00°, γ = 90.00°
With the nearest neighbours (Å) after each atom.
Space group Fmmm (No. 69)
Inequivalent atoms, fractional coordinates:
Nd: 0.0000 0.0000 0.1378 x8  6 Ge 3.01-3.29, 6 Pt 3.29-3.37
Ge: 0.0000 0.1670 0.3368 x16  3 Pt 2.61-2.65, 1 Ge 2.75
Pt: 0.0000 0.0000 0.5000 x4  4 Ge 2.65, 4 Pt 2.90
Pt: 0.2500 0.2500 0.0000 x8  4 Ge 2.61, 4 Pt 2.80-2.90

=====

## NdGe3Pt3 (PBE)

Data for a relaxed structure of NdGe3Pt3.

Computed properties:
calculated formation energy = -456 meV/atom
VASP energy = -5.705 eV/atom
D(E_F) = 7.9 states/eV per cell

a = 6.8241 Å, b = 6.8241 Å, c = 6.8241 Å
α = 90.00°, β = 90.00°, γ = 90.00°
With the nearest neighbours (Å) after each atom.
Space group Pm-3n (No. 223)
Inequivalent atoms, fractional coordinates:
Nd: 0.0000 0.0000 0.0000 x2  12 Ge 3.81, 12 Pt 3.81
Ge: 0.0000 0.2500 0.5000 x6  4 Pt 2.41
Pt: 0.0000 0.5000 0.2500 x6  4 Ge 2.41

=====

## Nd8Ge5Pt (PBE)

Data for a relaxed structure of Nd8Ge5Pt.

Computed properties:
calculated formation energy = -809 meV/atom
VASP energy = -5.614 eV/atom
D(E_F) = 15.5 states/eV per cell

a = 9.1136 Å, b = 9.1136 Å, c = 9.2394 Å
α = 90.00°, β = 90.00°, γ = 90.00°
With the nearest neighbours (Å) after each atom.
Space group I-4 (No. 82)
Inequivalent atoms, fractional coordinates:
Nd: 0.0636 0.1899 0.1923 x8  1 Pt 2.93, 2 Ge 2.99-3.02
Nd: 0.0674 0.3154 0.5633 x8  4 Ge 2.99-3.30
Ge: 0.0000 0.0000 0.5000 x2  4 Nd 3.00
Ge: 0.1220 0.2496 0.8759 x8  5 Nd 2.99-3.30
Pt: 0.0000 0.5000 0.2500 x2  4 Nd 2.93